(1)
The following is a PBE calculation of an optimized crystal structure of Hg2BrCl, from the Alexandria database.

a = 7.527 Å, b = 7.527 Å, c = 7.527 Å
α = 33.51°, β = 33.51°, γ = 33.51°
Sites, in units of the cell vectors:
1 Hg 0.498 0.498 0.498
2 Hg 0.002 0.002 0.002
3 Br 0.250 0.250 0.250
4 Cl 0.750 0.750 0.750

Summary:
Raw formation energy in eV/atom: -0.171
N(E_F) in states/eV/f.u.: 3.833
Space-group type: No. 166

=====

(2)
The following is a PBE calculation of an optimized crystal structure of KLiSi2, from the Alexandria database.

a = 5.789 Å, b = 5.789 Å, c = 2.779 Å
α = 90.01°, β = 90.01°, γ = 121.86°
Sites, in units of the cell vectors:
1 Si 0.000 0.000 0.000
2 Si 0.500 0.500 0.000
3 K 0.500 0.000 0.500
4 Li 0.000 0.500 0.500

Summary:
Raw formation energy in eV/atom: 0.383
N(E_F) in states/eV/f.u.: 2.188
Space-group type: No. 65

=====

(3)
The following is a PBE calculation of an optimized crystal structure of ZnGa3W, from the Alexandria database.

a = 4.962 Å, b = 4.962 Å, c = 4.962 Å
α = 90.00°, β = 90.00°, γ = 90.00°
Last column: magnetic moment on the atom in μB.
Sites, in units of the cell vectors:
1 Zn 0.500 0.500 0.500  0.09
2 W 0.000 0.000 0.000  0.35
3 Ga 0.000 0.000 0.500  0.01
4 Ga 0.500 0.000 0.000  0.01
5 Ga 0.000 0.500 0.000  0.02

Summary:
Formation energy from the elements in meV per atom: 675
N(E_F) in states/eV/f.u.: 4.828
Space-group type: No. 221

=====

(4)
The following is a PBE calculation of an optimized crystal structure of Ga6Ni3Rh, from the Alexandria database.

a = 6.817 Å, b = 6.381 Å, c = 6.928 Å
α = 90.00°, β = 107.65°, γ = 90.00°
Sites, in units of the cell vectors:
1 Ga 0.264 0.090 0.813
2 Ga 0.832 0.602 0.958
3 Ga 0.165 0.284 0.396
4 Ga 0.665 0.216 0.896
5 Ga 0.335 0.784 0.104
6 Ga 0.236 0.590 0.687
7 Ga 0.168 0.398 0.042
8 Ga 0.668 0.102 0.542
9 Ga 0.332 0.898 0.458
10 Ga 0.736 0.910 0.187
11 Ga 0.835 0.716 0.604
12 Ga 0.764 0.410 0.313
13 Ni 0.935 0.347 0.705
14 Ni 0.065 0.653 0.295
15 Ni 0.565 0.847 0.795
16 Ni 0.500 0.500 0.000
17 Ni 0.000 0.000 0.500
18 Ni 0.435 0.153 0.205
19 Rh 0.500 0.500 0.500
20 Rh 0.000 0.000 0.000

Summary:
Formation energy from the elements in meV per atom: -251
N(E_F) in states/eV/f.u.: 3.556
Space-group type: No. 14